Entry 1:
This record from Alexandria via LeMat-Bulk describes a geometry-optimized PmSn2Mo structure. The functional is PBE.

The structure in POSCAR format:
```
PmSn2Mo
1.0
-0.973 -2.990 0.422
1.923 -2.114 1.379
-3.846 1.072 10.659
Pm Sn Mo
1 2 1
Cartesian
-1.448 -2.016 6.230 Pm
-2.817 0.386 8.171 Sn
-0.080 -4.418 4.288 Sn
0.000 0.000 0.000 Mo
```

Computed properties:
space-group type = R-3m (166)
E_form = 2.0 eV per formula unit
electronic total energy = -21.58 eV per cell
calculated volume = 24.5 Å³/atom



Entry 2:
This record from Alexandria via LeMat-Bulk describes a geometry-optimized Pm2NdSn structure. The functional is PBE.

The structure in POSCAR format:
```
Pm2NdSn
1.0
-2.244 1.260 2.602
-3.383 1.091 -0.872
-5.671 -9.588 2.326
Nd Sn Pm
1 1 2
Cartesian
-5.648 -3.616 2.028 Nd
-3.754 1.559 1.155 Sn
-2.753 -1.615 0.981 Pm
-4.791 -7.184 1.921 Pm
```

Computed properties:
polymorph energy (0 for the lowest one) = 0.98 eV/f.u.
space-group type = R3m (160)
E_form = -0.8 eV per formula unit
electronic total energy = -19.10 eV per cell
calculated volume = 32.4 Å³/atom



Entry 3:
This record from Alexandria via LeMat-Bulk describes a geometry-optimized NbSiIr2 structure. The functional is PBE.

The structure in POSCAR format:
```
NbSiIr2
1.0
-0.716 -2.281 1.590
0.237 -1.686 -2.312
6.833 -1.098 1.501
Ir Si Nb
2 1 1
Cartesian
5.411 -0.869 1.189 Ir
1.422 -0.228 0.313 Ir
-0.239 -1.983 -0.361 Si
3.177 -2.532 0.390 Nb
```

Computed properties:
space-group type = P4/mmm (123)
formation energy (no corrections) = -2.59 eV per formula unit
electronic total energy = -35.81 eV per cell
calculated volume = 14.6 Å³/atom



Entry 4:
This record from Alexandria via LeMat-Bulk describes a geometry-optimized Pa4BS3 structure. The functional is PBE.

The structure in POSCAR format:
```
Pa4BS3
1.0
-4.867 1.197 -4.394
2.558 -6.135 -1.125
-5.155 -3.044 4.881
Pa S B
8 6 2
Cartesian
-3.810 -5.978 0.000 Pa
-1.054 -4.471 -2.495 Pa
0.007 -5.760 0.888 Pa
-3.656 -2.004 -0.637 Pa
-0.008 -1.767 0.296 Pa
-6.411 -3.512 1.857 Pa
-7.472 -2.222 -1.525 Pa
-7.457 -6.216 -0.934 Pa
-4.445 -5.430 2.606 S
-1.871 -3.910 0.169 S
-3.020 -2.553 -3.244 S
-5.594 -4.073 -0.807 S
-5.580 -0.242 -1.468 S
-4.443 -1.606 1.956 S
-1.869 -0.086 -0.481 B
-8.154 -1.762 0.969 B
```

Computed properties:
polymorph energy (0 for the lowest one) = 0.00 eV/f.u.
space-group type = P2/c (13)
formation energy (no corrections) = -10.29 eV per formula unit
electronic total energy = -134.66 eV per cell
calculated volume = 20.5 Å³/atom